Record 1
The following is a DFT calculation (PBE) of a geometry-optimized BeW3C structure.

Unit cell a=4.107 b=4.107 c=4.107 alpha=90.00 beta=90.00 gamma=90.00
Fractional coordinates of all 5 atoms:
Be1 0.500 0.500 0.500
W1 0.500 0.000 0.000
W2 0.000 0.000 0.500
W3 0.000 0.500 0.000
C1 0.000 0.000 0.000

Its density of states at the Fermi level is 2.80 states/eV/f.u. For the energy relative to the lowest polymorph listed for this composition, the calculation gives 0 meV/atom. The crystal system is cubic. The total moment is 0.0 μB per cell. The value obtained for the calculated formation energy is 0.467 eV per atom.


Record 2
The following is a DFT calculation (PBE) of a geometry-optimized HfBeB3 structure.

Unit cell a=3.112 b=3.348 c=8.939 alpha=100.79 beta=90.00 gamma=90.00
Fractional coordinates of all 10 atoms:
B1 0.250 0.367 0.734
B2 0.250 0.474 0.949
B3 0.750 0.526 0.051
B4 0.250 0.682 0.364
B5 0.750 0.633 0.266
B6 0.750 0.318 0.636
Hf1 0.750 0.921 0.842
Hf2 0.250 0.079 0.158
Be1 0.250 0.793 0.587
Be2 0.750 0.207 0.413

Its density of states at the Fermi level is 0.76 states/eV/f.u. For the energy relative to the lowest polymorph listed for this composition, the calculation gives 0 meV/atom. The crystal system is orthorhombic. The total moment is 0.0 μB per cell. The value obtained for the calculated formation energy is -0.519 eV per atom.


Record 3
The following is a DFT calculation (PBE) of a geometry-optimized Na3YNp2S6 structure.

Unit cell a=6.942 b=6.942 c=7.060 alpha=99.44 beta=99.44 gamma=120.00
Fractional coordinates of all 12 atoms:
Np1 0.667 0.333 0.000
Np2 0.333 0.667 0.000
S1 0.076 0.409 0.228
S2 0.409 0.076 0.228
S3 0.924 0.591 0.772
S4 0.591 0.924 0.772
S5 0.258 0.258 0.772
S6 0.742 0.742 0.228
Na1 0.834 0.166 0.500
Na2 0.166 0.834 0.500
Na3 0.500 0.500 0.500
Y1 0.000 0.000 0.000

Its density of states at the Fermi level is 21.07 states/eV/f.u. The crystal system is monoclinic. For the raw formation energy, the calculation gives -1.509 eV/atom. The total moment is 8.0 μB per cell.


Record 4
The following is a DFT calculation (PBE) of a geometry-optimized AcMgHg structure.

Unit cell a=4.903 b=7.933 c=7.933 alpha=120.00 beta=90.00 gamma=90.00
Fractional coordinates of all 9 atoms:
Mg1 0.000 0.233 0.000
Mg2 0.000 0.000 0.233
Mg3 0.000 0.767 0.767
Hg1 0.000 0.667 0.333
Hg2 0.000 0.333 0.667
Hg3 0.500 0.000 0.000
Ac1 0.500 0.420 0.420
Ac2 0.500 0.580 0.000
Ac3 0.500 0.000 0.580

Its density of states at the Fermi level is 2.98 states/eV/f.u. For the energy relative to the lowest polymorph listed for this composition, the calculation gives 0 meV/atom. The crystal system is hexagonal. The total moment is 0.0 μB per cell. The value obtained for the calculated formation energy is -0.391 eV per atom.


Record 5
The following is a DFT calculation (PBE) of a geometry-optimized TbSmDy4Se8 structure.

Unit cell a=8.449 b=8.449 c=8.456 alpha=60.02 beta=60.02 gamma=60.00
Fractional coordinates of all 14 atoms:
Se1 0.757 0.757 0.728
Se2 0.229 0.756 0.258
Se3 0.778 0.241 0.739
Se4 0.241 0.778 0.739
Se5 0.241 0.241 0.739
Se6 0.756 0.756 0.258
Se7 0.240 0.240 0.280
Se8 0.756 0.229 0.258
Sm1 0.375 0.375 0.876
Dy1 0.625 0.625 0.125
Dy2 0.999 0.502 0.499
Dy3 0.502 0.999 0.499
Dy4 0.999 0.999 0.499
Tb1 0.000 0.000 0.001

Its density of states at the Fermi level is 8.88 states/eV/f.u. The crystal system is trigonal. For the raw formation energy, the calculation gives -1.717 eV/atom. The total moment is 0.0 μB per cell.


Record 6
The following is a DFT calculation (PBE) of a geometry-optimized FeAs3Os structure.

Unit cell a=4.449 b=4.449 c=4.449 alpha=90.00 beta=90.00 gamma=90.00
Fractional coordinates of all 5 atoms:
As1 0.000 0.500 0.000
As2 0.500 0.000 0.000
As3 0.000 0.000 0.500
Os1 0.500 0.500 0.500
Fe1 0.000 0.000 0.000

Its density of states at the Fermi level is 3.63 states/eV/f.u. The crystal system is cubic. The total moment is 0.3 μB per cell. The value obtained for the calculated formation energy is 1.012 eV per atom.


Record 7
The following is a DFT calculation (PBE) of a geometry-optimized MgNbPb2 structure.

Unit cell a=3.200 b=3.200 c=11.634 alpha=82.09 beta=82.09 gamma=60.00
Fractional coordinates of all 4 atoms:
Pb1 0.915 0.915 0.256
Pb2 0.085 0.085 0.744
Nb1 0.000 0.000 0.000
Mg1 0.500 0.500 0.500

Its density of states at the Fermi level is 3.65 states/eV/f.u. The crystal system is trigonal. The total moment is 0.0 μB per cell. The value obtained for the calculated formation energy is 0.507 eV per atom.


Record 8
The following is a DFT calculation (PBE) of a geometry-optimized GaHg2Te2 structure.

Unit cell a=8.364 b=8.364 c=4.501 alpha=90.00 beta=90.00 gamma=90.00
Fractional coordinates of all 10 atoms:
Hg1 0.616 0.884 0.500
Hg2 0.116 0.616 0.500
Hg3 0.884 0.384 0.500
Hg4 0.384 0.116 0.500
Te1 0.272 0.772 0.000
Te2 0.772 0.728 0.000
Te3 0.728 0.228 0.000
Te4 0.228 0.272 0.000
Ga1 0.500 0.500 0.000
Ga2 0.000 0.000 0.000

Its density of states at the Fermi level is 3.18 states/eV/f.u. For the energy relative to the lowest polymorph listed for this composition, the calculation gives 0 meV/atom. The crystal system is tetragonal. For the raw formation energy, the calculation gives 0.054 eV/atom. The total moment is 0.0 μB per cell.


Record 9
The following is a DFT calculation (PBE) of a geometry-optimized La2NdY structure.

Unit cell a=5.161 b=5.222 c=5.222 alpha=90.00 beta=90.00 gamma=90.00
Fractional coordinates of all 4 atoms:
La1 0.000 0.500 0.000
La2 0.000 0.000 0.500
Nd1 0.500 0.500 0.500
Y1 0.500 0.000 0.000

Its density of states at the Fermi level is 5.98 states/eV/f.u. For the energy relative to the lowest polymorph listed for this composition, the calculation gives 0 meV/atom. The crystal system is tetragonal. The total moment is 0.0 μB per cell. The value obtained for the calculated formation energy is 0.011 eV per atom.


Record 10
The following is a DFT calculation (PBE) of a geometry-optimized KNaGaI3 structure.

Unit cell a=4.581 b=9.293 c=11.862 alpha=107.15 beta=90.00 gamma=90.00
Fractional coordinates of all 12 atoms:
I1 0.250 0.611 0.879
I2 0.750 0.915 0.222
I3 0.250 0.085 0.778
I4 0.250 0.672 0.443
I5 0.750 0.389 0.121
I6 0.750 0.328 0.557
Na1 0.750 0.361 0.849
Na2 0.250 0.639 0.151
K1 0.250 0.252 0.287
K2 0.750 0.748 0.713
Ga1 0.250 0.090 0.541
Ga2 0.750 0.910 0.459

Its density of states at the Fermi level is 0.00 states/eV/f.u. The crystal system is monoclinic. For the raw formation energy, the calculation gives -0.999 eV/atom. The total moment is 0.0 μB per cell.


Record 11
The following is a DFT calculation (PBE) of a geometry-optimized ScHg2Cl structure.

Unit cell a=3.580 b=3.580 c=7.393 alpha=90.00 beta=90.00 gamma=90.00
Fractional coordinates of all 4 atoms:
Cl1 0.500 0.500 0.750
Hg1 0.000 0.000 0.018
Hg2 0.000 0.000 0.482
Sc1 0.500 0.500 0.250

Its density of states at the Fermi level is 2.56 states/eV/f.u. For the energy relative to the lowest polymorph listed for this composition, the calculation gives 369 meV/atom. The crystal system is tetragonal. For the raw formation energy, the calculation gives -0.335 eV/atom. The total moment is 0.6 μB per cell.


Record 12
The following is a DFT calculation (PBE) of a geometry-optimized BiB3S structure.

Unit cell a=4.727 b=4.727 c=4.727 alpha=90.00 beta=90.00 gamma=90.00
Fractional coordinates of all 5 atoms:
B1 0.000 0.000 0.500
B2 0.500 0.000 0.000
B3 0.000 0.500 0.000
Bi1 0.000 0.000 0.000
S1 0.500 0.500 0.500

Its density of states at the Fermi level is 3.03 states/eV/f.u. For the energy relative to the lowest polymorph listed for this composition, the calculation gives 957 meV/atom. The crystal system is cubic. For the raw formation energy, the calculation gives 2.548 eV/atom. The total moment is 0.0 μB per cell.